Entry from Alexandria: a relaxed Hf2Zr7Tl2 crystal (GGA-PBE).

POSCAR file:
```
Hf2Zr7Tl2
1.0
3.029 -5.264 0.000
3.029 5.264 0.000
0.000 0.000 8.587
Hf Zr Tl
2 7 2
direct
0.229 0.771 0.000
0.771 0.229 0.000
0.000 0.000 0.181
0.000 0.000 0.819
0.000 0.500 0.312
0.000 0.500 0.688
0.500 0.000 0.312
0.500 0.000 0.688
0.500 0.500 0.000
0.255 0.255 0.500
0.745 0.745 0.500
```

Results
crystal system = orthorhombic
DFT formation energy = 0.33 eV per atom
calculated total energy = -7.3498 eV per atom
calculated volume = 274 Å³/cell
density = 8.5 Mg/m³